Entry 1:
ScCuAs2O8: optimized geometry, GGA-PBE.

**SG**: I-4m2, No. 119
**Final energy**: -6.298 eV/atom
**Magnetic moment**: 2.00 μB per formula unit
**Uncorrected formation energy**: -1349 meV/atom

Cell: 5.7011 5.7011 5.7011 Å, 107.54 107.54 113.41°
Last column: nearest neighbours and their distance in Å.
Fractional positions:
Sc 0.0000 0.0000 0.0000  8 O 2.13-2.31
Cu 0.7500 0.2500 0.5000  8 O 2.14-2.37
As 0.2500 0.7500 0.5000  4 O 1.71
As 0.5000 0.5000 0.0000  4 O 1.73
O 0.0692 0.3789 0.3097  1 As 1.71
O 0.0692 0.7595 0.6903  1 As 1.71
O 0.1229 0.3100 0.8130  1 As 1.73
O 0.2405 0.9308 0.3097  1 As 1.71
O 0.4970 0.3100 0.1870  1 As 1.73
O 0.6211 0.9308 0.6903  1 As 1.71
O 0.6900 0.5030 0.8130  1 As 1.73
O 0.6900 0.8771 0.1870  1 As 1.73

***

Entry 2:
Ba2ErAlS5: optimized geometry, GGA-PBE.

**SG**: Cmc2_1, No. 36
**Final energy**: -5.507 eV/atom
**Magnetic moment**: 0.00 μB per formula unit
**Uncorrected formation energy**: -1864 meV/atom

Cell: 9.3317 9.3317 13.0750 Å, 90.00 90.00 154.98°
Last column: nearest neighbours and their distance in Å.
Fractional positions:
Ba 0.1193 0.8807 0.5000  7 S 3.13-3.48
Ba 0.1287 0.8713 0.1417  7 S 3.15-3.52
Ba 0.8713 0.1287 0.6417  7 S 3.15-3.52
Ba 0.8807 0.1193 0.0000  7 S 3.13-3.48
Er 0.2047 0.7953 0.8437  6 S 2.61-2.89
Er 0.7953 0.2047 0.3437  6 S 2.61-2.89
Al 0.4396 0.5604 0.2434  4 S 2.21-2.37
Al 0.5604 0.4396 0.7434  4 S 2.21-2.37
S 0.0463 0.9537 0.8364  2 Al 2.37
S 0.2966 0.7034 0.4794  2 Er 2.69
S 0.3177 0.6823 0.1978  1 Al 2.30
S 0.3472 0.6528 0.8235  1 Er 2.61
S 0.4995 0.5005 0.0964  1 Al 2.21
S 0.5005 0.4995 0.5964  1 Al 2.21
S 0.6528 0.3472 0.3235  1 Er 2.61
S 0.6823 0.3177 0.6978  1 Al 2.30
S 0.7034 0.2966 0.9794  2 Er 2.69
S 0.9537 0.0463 0.3364  2 Al 2.37

***

Entry 3:
SrLaZnSi: optimized geometry, GGA-PBE.

**SG**: F-43m, No. 216
**Final energy**: -3.648 eV/atom
**Magnetic moment**: 0.00 μB per formula unit
**Uncorrected formation energy**: -322 meV/atom

Cell: 5.3343 5.3343 5.3343 Å, 60.00 60.00 60.00°
Last column: nearest neighbours and their distance in Å.
Fractional positions:
Sr 0.0000 0.0000 0.0000  4 Si 3.27, 4 Zn 3.27
La 0.5000 0.5000 0.5000  4 Zn 3.27, 4 Si 3.27
Zn 0.2500 0.2500 0.2500  4 La 3.27, 4 Sr 3.27
Si 0.7500 0.7500 0.7500  4 La 3.27, 4 Sr 3.27

***

Entry 4:
Sm2HoEr2Tm: optimized geometry, GGA-PBE.

**SG**: Pnnm, No. 58
**Final energy**: -4.533 eV/atom
**Magnetic moment**: 0.00 μB per formula unit
**Energy of formation from the pure elements**: 0.069 eV/atom

Cell: 7.0036 9.6564 5.5869 Å, 90.00 90.00 90.00°
Last column: nearest neighbours and their distance in Å.
Fractional positions:
Sm 0.2494 0.1669 0.0000  5 Er 3.22-3.51
Sm 0.2506 0.6669 0.5000  5 Er 3.22-3.51
Sm 0.7494 0.3331 0.5000  5 Er 3.22-3.51
Sm 0.7506 0.8331 0.0000  5 Er 3.22-3.51
Ho 0.0000 0.5000 0.0000  2 Tm 3.50, 6 Sm 3.66-3.67, 6 Er 3.67
Ho 0.5000 0.0000 0.5000  2 Tm 3.50, 6 Sm 3.66-3.67, 6 Er 3.67
Er 0.2501 0.3336 0.5000  5 Sm 3.22-3.51
Er 0.2499 0.8336 0.0000  5 Sm 3.22-3.51
Er 0.7501 0.1664 0.0000  5 Sm 3.22-3.51
Er 0.7499 0.6664 0.5000  5 Sm 3.22-3.51
Tm 0.0000 0.0000 0.5000  2 Ho 3.50, 6 Sm 3.66-3.67, 6 Er 3.67
Tm 0.5000 0.5000 0.0000  2 Ho 3.50, 6 Sm 3.66-3.67, 6 Er 3.67

***

Entry 5:
Sc2MoPt2: optimized geometry, GGA-PBE.

**Offset from the most stable computed form**: 0 meV/atom
**SG**: P4/mbm, No. 127
**Final energy**: -7.740 eV/atom
**Magnetic moment**: 0.00 μB per formula unit
**Energy of formation from the pure elements**: -0.625 eV/atom

Cell: 6.8223 6.8223 4.0326 Å, 90.00 90.00 90.00°
Last column: nearest neighbours and their distance in Å.
Fractional positions:
Sc 0.1708 0.3292 0.0000  6 Pt 2.73-2.92
Sc 0.3292 0.8292 0.0000  6 Pt 2.73-2.92
Sc 0.6708 0.1708 0.0000  6 Pt 2.73-2.92
Sc 0.8292 0.6708 0.0000  6 Pt 2.73-2.92
Mo 0.0000 0.0000 0.5000  4 Pt 2.64
Mo 0.5000 0.5000 0.5000  4 Pt 2.64
Pt 0.1378 0.6378 0.5000  2 Mo 2.64, 1 Pt 2.66, 6 Sc 2.73-2.92
Pt 0.3622 0.1378 0.5000  2 Mo 2.64, 1 Pt 2.66, 6 Sc 2.73-2.92
Pt 0.6378 0.8622 0.5000  2 Mo 2.64, 1 Pt 2.66, 6 Sc 2.73-2.92
Pt 0.8622 0.3622 0.5000  2 Mo 2.64, 1 Pt 2.66, 6 Sc 2.73-2.92

***

Entry 6:
DyTmF5: optimized geometry, GGA-PBE.

**SG**: C2/c, No. 15
**Final energy**: -6.471 eV/atom
**Magnetic moment**: 0.00 μB per formula unit
**Uncorrected formation energy**: -3838 meV/atom

Cell: 5.9277 5.9277 7.8221 Å, 109.18 109.18 73.57°
Last column: nearest neighbours and their distance in Å.
Fractional positions:
Dy 0.0123 0.9877 0.7500  7 F 2.18-2.39
Dy 0.9877 0.0123 0.2500  7 F 2.18-2.39
Tm 0.5000 0.5000 0.0000  6 F 2.15-2.32
Tm 0.5000 0.5000 0.5000  6 F 2.15-2.32
F 0.1742 0.8264 0.0179  2 Dy 2.25-2.39, 1 Tm 2.32, 2 F 2.39-2.48
F 0.1736 0.8258 0.4821  2 Dy 2.25-2.39, 1 Tm 2.32, 2 F 2.39-2.48
F 0.2421 0.2615 0.3756  1 Tm 2.15, 1 Dy 2.18
F 0.2615 0.2421 0.8756  1 Tm 2.15, 1 Dy 2.18
F 0.3363 0.6637 0.7500  2 Tm 2.27, 1 Dy 2.30, 2 F 2.39
F 0.6637 0.3363 0.2500  2 Tm 2.27, 1 Dy 2.30, 2 F 2.39
F 0.7385 0.7579 0.1244  1 Tm 2.15, 1 Dy 2.18
F 0.7579 0.7385 0.6244  1 Tm 2.15, 1 Dy 2.18
F 0.8264 0.1742 0.5179  2 Dy 2.25-2.39, 1 Tm 2.32, 2 F 2.39-2.48
F 0.8258 0.1736 0.9821  2 Dy 2.25-2.39, 1 Tm 2.32, 2 F 2.39-2.48

***

Entry 7:
BaNa2Pb2: optimized geometry, GGA-PBE.

**Offset from the most stable computed form**: 42 meV/atom
**SG**: Imma, No. 74
**Final energy**: -2.654 eV/atom
**Magnetic moment**: 0.00 μB per formula unit
**Energy of formation from the pure elements**: -0.259 eV/atom

Cell: 14.9733 14.9733 14.9733 Å, 160.82 160.19 27.71°
Last column: nearest neighbours and their distance in Å.
Fractional positions:
Ba 0.3272 0.0772 0.2500  10 Pb 3.85-3.97
Ba 0.6728 0.9228 0.7500  10 Pb 3.85-3.97
Na 0.0478 0.7978 0.2500  2 Pb 3.23, 4 Na 3.59
Na 0.4486 0.6986 0.7500  2 Pb 3.23, 4 Na 3.59
Na 0.5514 0.3014 0.2500  2 Pb 3.23, 4 Na 3.59
Na 0.9522 0.2022 0.7500  2 Pb 3.23, 4 Na 3.59
Pb 0.1183 0.3683 0.7500  1 Pb 2.99, 4 Na 3.23
Pb 0.2212 0.4712 0.7500  3 Pb 2.99-3.07
Pb 0.7788 0.5288 0.2500  3 Pb 2.99-3.07
Pb 0.8817 0.6317 0.2500  1 Pb 2.99, 4 Na 3.23

***

Entry 8:
In2PdPt: optimized geometry, GGA-PBE.

**SG**: R3m, No. 160
**Final energy**: -4.524 eV/atom
**Magnetic moment**: 0.00 μB per formula unit
**Energy of formation from the pure elements**: -0.346 eV/atom

Cell: 5.9369 5.9369 5.9369 Å, 41.59 41.59 41.59°
Last column: nearest neighbours and their distance in Å.
Fractional positions:
In 0.0000 0.0000 0.0000  3 Pt 2.70, 3 Pd 2.79, 1 In 2.96
In 0.1822 0.1822 0.1822  3 Pt 2.75, 3 Pd 2.91, 1 In 2.96
Pd 0.4174 0.4174 0.4174  6 In 2.79-2.91, 1 Pt 2.87
Pt 0.5943 0.5943 0.5943  6 In 2.70-2.75, 1 Pd 2.87

***

Entry 9:
Sc3Tl: optimized geometry, GGA-PBE.

**SG**: Pmm2, No. 25
**Final energy**: -5.436 eV/atom
**Magnetic moment**: 0.00 μB per formula unit
**Energy of formation from the pure elements**: -0.096 eV/atom

Cell: 3.2849 5.1505 5.6521 Å, 90.00 90.00 90.00°
Last column: nearest neighbours and their distance in Å.
Fractional positions:
Sc 0.0000 0.0000 0.0000  8 Sc 3.17-3.30, 4 Tl 3.23
Sc 0.0000 0.5000 0.3284  8 Sc 3.17-3.28, 4 Tl 3.20-3.34
Sc 0.5000 0.0000 0.4935  2 Tl 3.15, 10 Sc 3.19-3.30
Tl 0.5000 0.5000 0.8135  10 Sc 3.15-3.34, 2 Tl 3.28

***

Entry 10:
YSbHPd2: optimized geometry, GGA-PBE.

**Offset from the most stable computed form**: 625 meV/atom
**SG**: P4/mmm, No. 123
**Final energy**: -4.828 eV/atom
**Magnetic moment**: 0.00 μB per formula unit

Cell: 5.2249 5.2249 3.7623 Å, 90.00 90.00 90.00°
Last column: nearest neighbours and their distance in Å.
Fractional positions:
Y 0.0000 0.0000 0.0000  2 H 1.88
Sb 0.5000 0.5000 0.5000  8 Pd 3.22
H 0.0000 0.0000 0.5000  2 Y 1.88
Pd 0.0000 0.5000 0.0000  2 Y 2.61
Pd 0.5000 0.0000 0.0000  2 Y 2.61

***

Entry 11:
Ta2AsBr: optimized geometry, GGA-PBE.

**Offset from the most stable computed form**: 307 meV/atom
**SG**: P4/mmm, No. 123
**Final energy**: -7.343 eV/atom
**Magnetic moment**: 0.00 μB per formula unit
**Uncorrected formation energy**: 164 meV/atom

Cell: 3.2846 3.2846 6.8884 Å, 90.00 90.00 90.00°
Last column: nearest neighbours and their distance in Å.
Fractional positions:
Ta 0.0000 0.0000 0.1985  4 As 2.70, 1 Ta 2.73
Ta 0.0000 0.0000 0.8015  4 As 2.70, 1 Ta 2.73
As 0.5000 0.5000 0.0000  8 Ta 2.70
Br 0.5000 0.5000 0.5000  8 Ta 3.12, 4 Br 3.28, 2 As 3.44

***

Entry 12:
Ca2TmS3: optimized geometry, GGA-PBE.

**Offset from the most stable computed form**: 9 meV/atom
**SG**: Immm, No. 71
**Final energy**: -5.537 eV/atom
**Magnetic moment**: 0.00 μB per formula unit
**Uncorrected formation energy**: -2061 meV/atom

Cell: 6.8665 6.8665 6.8665 Å, 146.61 131.93 59.79°
Last column: nearest neighbours and their distance in Å.
Fractional positions:
Ca 0.1686 0.1686 0.0000  6 S 2.80-2.84
Ca 0.8314 0.8314 0.0000  6 S 2.80-2.84
Tm 0.5000 0.5000 0.0000  6 S 2.74-2.80
S 0.0000 0.5000 0.5000  2 Tm 2.80, 4 Ca 2.81
S 0.3403 0.8403 0.5000  2 Tm 2.74, 4 Ca 2.80-2.84
S 0.6597 0.1597 0.5000  2 Tm 2.74, 4 Ca 2.80-2.84

***

The highest magnetic moment belongs to which entry?
ScCuAs2O8